# 1
# TlGaMo GGA-PBE optimized geometry
# SG ... F-43m
# Total magnetic moment ... 1.9 μB per formula unit
# Theoretical density ... 9.8 Mg/m³
# Energy relative to the lowest polymorph listed for this composition ... 0.000 eV per atom
# Uncorrected energy ... -4.52 eV per atom
data_TlGaMo
_chemical_formula_sum 'Tl1 Ga1 Mo1'
_space_group_name_H-M_alt 'P 1'
_space_group_IT_number 1
_space_group_name_Hall 'P 1'
_cell_length_a 4.4545
_cell_length_b 4.4545
_cell_length_c 4.4545
_cell_angle_alpha 60.00
_cell_angle_beta 60.00
_cell_angle_gamma 60.00
loop_
_atom_site_label
_atom_site_type_symbol
_atom_site_fract_x
_atom_site_fract_y
_atom_site_fract_z
Tl1 Tl 0.0000 0.0000 0.0000
Ga1 Ga 0.7500 0.7500 0.7500
Mo1 Mo 0.5000 0.5000 0.5000

=====

# 2
# Tl2Ga2Mo GGA-PBE optimized geometry
# SG ... P6_3/mmc
# Total magnetic moment ... 0.0 μB per formula unit
# Theoretical density ... 10.2 Mg/m³
# Uncorrected energy ... -3.93 eV per atom
data_Tl2Ga2Mo
_chemical_formula_sum 'Tl4 Ga4 Mo2'
_space_group_name_H-M_alt 'P 1'
_space_group_IT_number 1
_space_group_name_Hall 'P 1'
_cell_length_a 4.6446
_cell_length_b 4.6446
_cell_length_c 11.2702
_cell_angle_alpha 90.00
_cell_angle_beta 90.00
_cell_angle_gamma 120.00
loop_
_atom_site_label
_atom_site_type_symbol
_atom_site_fract_x
_atom_site_fract_y
_atom_site_fract_z
Tl1 Tl 0.3333 0.6667 0.1088
Tl2 Tl 0.3333 0.6667 0.3912
Tl3 Tl 0.6667 0.3333 0.6088
Tl4 Tl 0.6667 0.3333 0.8912
Ga1 Ga 0.0000 0.0000 0.0000
Ga2 Ga 0.0000 0.0000 0.5000
Ga3 Ga 0.3333 0.6667 0.7500
Ga4 Ga 0.6667 0.3333 0.2500
Mo1 Mo 0.0000 0.0000 0.2500
Mo2 Mo 0.0000 0.0000 0.7500

=====

# 3
# Tl2GaMo GGA-PBE optimized geometry
# SG ... F-43m
# Total magnetic moment ... 3.2 μB per formula unit
# Theoretical density ... 10.2 Mg/m³
# Uncorrected energy ... -3.82 eV per atom
data_Tl2GaMo
_chemical_formula_sum 'Tl2 Ga1 Mo1'
_space_group_name_H-M_alt 'P 1'
_space_group_IT_number 1
_space_group_name_Hall 'P 1'
_cell_length_a 5.0871
_cell_length_b 5.0871
_cell_length_c 5.0871
_cell_angle_alpha 60.00
_cell_angle_beta 60.00
_cell_angle_gamma 60.00
loop_
_atom_site_label
_atom_site_type_symbol
_atom_site_fract_x
_atom_site_fract_y
_atom_site_fract_z
Tl1 Tl 0.0000 0.0000 0.0000
Tl2 Tl 0.2500 0.2500 0.2500
Ga1 Ga 0.5000 0.5000 0.5000
Mo1 Mo 0.7500 0.7500 0.7500

=====

# 4
# TmGaMo GGA-PBE optimized geometry
# SG ... F-43m
# Total magnetic moment ... 2.8 μB per formula unit
# Theoretical density ... 7.6 Mg/m³
# Energy relative to the lowest polymorph listed for this composition ... 0.744 eV per atom
# Uncorrected energy ... -5.08 eV per atom
data_TmGaMo
_chemical_formula_sum 'Tm1 Ga1 Mo1'
_space_group_name_H-M_alt 'P 1'
_space_group_IT_number 1
_space_group_name_Hall 'P 1'
_cell_length_a 4.7009
_cell_length_b 4.7009
_cell_length_c 4.7009
_cell_angle_alpha 60.00
_cell_angle_beta 60.00
_cell_angle_gamma 60.00
loop_
_atom_site_label
_atom_site_type_symbol
_atom_site_fract_x
_atom_site_fract_y
_atom_site_fract_z
Tm1 Tm 0.0000 0.0000 0.0000
Ga1 Ga 0.7500 0.7500 0.7500
Mo1 Mo 0.2500 0.2500 0.2500

=====

# 5
# TmGaMo GGA-PBE optimized geometry
# SG ... F-43m
# Total magnetic moment ... 1.1 μB per formula unit
# Theoretical density ... 8.7 Mg/m³
# Energy relative to the lowest polymorph listed for this composition ... 0.000 eV per atom
# Uncorrected energy ... -5.82 eV per atom
data_TmGaMo
_chemical_formula_sum 'Tm1 Ga1 Mo1'
_space_group_name_H-M_alt 'P 1'
_space_group_IT_number 1
_space_group_name_Hall 'P 1'
_cell_length_a 4.4928
_cell_length_b 4.4928
_cell_length_c 4.4928
_cell_angle_alpha 60.00
_cell_angle_beta 60.00
_cell_angle_gamma 60.00
loop_
_atom_site_label
_atom_site_type_symbol
_atom_site_fract_x
_atom_site_fract_y
_atom_site_fract_z
Tm1 Tm 0.0000 0.0000 0.0000
Ga1 Ga 0.7500 0.7500 0.7500
Mo1 Mo 0.5000 0.5000 0.5000

=====

# 6
# Ga2MoW GGA-PBE optimized geometry
# SG ... F-43m
# Total magnetic moment ... 0.0 μB per formula unit
# Theoretical density ... 11.3 Mg/m³
# Uncorrected energy ... -7.22 eV per atom
data_Ga2MoW
_chemical_formula_sum 'Ga2 Mo1 W1'
_space_group_name_H-M_alt 'P 1'
_space_group_IT_number 1
_space_group_name_Hall 'P 1'
_cell_length_a 4.4372
_cell_length_b 4.4372
_cell_length_c 4.4372
_cell_angle_alpha 60.00
_cell_angle_beta 60.00
_cell_angle_gamma 60.00
loop_
_atom_site_label
_atom_site_type_symbol
_atom_site_fract_x
_atom_site_fract_y
_atom_site_fract_z
Ga1 Ga 0.0000 0.0000 0.0000
Ga2 Ga 0.2500 0.2500 0.2500
Mo1 Mo 0.5000 0.5000 0.5000
W1 W 0.7500 0.7500 0.7500